Material: Y3Ho12Zr
Method: DFT, GGA-PBE
State: optimized geometry

Cell: 4.9695 4.9695 19.8025 Å, 90.00 90.00 90.00°
Space group P4/mmm (No. 123)
Unique sites:
Y1 0.0000 0.0000 0.0000 (multiplicity 1)
Y2 0.0000 0.0000 0.2525 (multiplicity 2)
Ho1 0.0000 0.5000 0.1270 (multiplicity 4)
Ho2 0.0000 0.5000 0.3826 (multiplicity 4)
Ho3 0.5000 0.5000 0.0000 (multiplicity 1)
Ho4 0.5000 0.5000 0.2531 (multiplicity 2)
Ho5 0.5000 0.5000 0.5000 (multiplicity 1)
Zr1 0.0000 0.0000 0.5000 (multiplicity 1)

VASP energy: -82.272 eV per cell